# 1
CoOs2Au after structural relaxation. Source: the Alexandria database, functional PBEsol.

extended XYZ file:
```
4
Lattice="2.656 0.000 0.000 0.000 3.678 0.000 0.000 0.000 5.681" Properties=species:S:1:pos:R:3 pbc="T T T"
Co 0.000 0.000 0.000
Os 1.328 1.839 1.224
Os 1.328 1.839 4.457
Au 0.000 0.000 2.840
```

Computed properties:
Calculated volume in Å³/atom: 13.88
Energy relative to the lowest polymorph listed for this composition in meV per atom: 94
Formation energy from the elements in eV per atom: 0.509
E_tot in eV per atom: -8.514
Density in g/cm³: 19.04

# 2
Co2OsAu after structural relaxation. Source: the Alexandria database, functional PBEsol.

extended XYZ file:
```
4
Lattice="2.690 -3.623 0.000 2.690 3.623 0.000 0.000 0.000 2.636" Properties=species:S:1:pos:R:3 pbc="T T T"
Co 1.345 1.812 0.000
Co 1.345 -1.812 0.000
Os 0.000 0.000 1.318
Au 2.690 0.000 1.318
```

Computed properties:
Calculated volume in Å³/atom: 12.85
Energy relative to the lowest polymorph listed for this composition in meV per atom: 160
Formation energy from the elements in eV per atom: 0.346
E_tot in eV per atom: -7.558
Density in g/cm³: 16.32

# 3
CoOs2Au after structural relaxation. Source: the Alexandria database, functional PBEsol.

extended XYZ file:
```
4
Lattice="2.632 -4.637 0.000 2.632 4.637 0.000 -1.326 0.000 2.337" Properties=species:S:1:pos:R:3 pbc="T T T"
Co 0.000 0.000 0.000
Os 0.653 2.318 1.168
Os 0.653 -2.318 1.168
Au 2.632 0.000 0.000
```

Computed properties:
Calculated volume in Å³/atom: 14.26
Energy relative to the lowest polymorph listed for this composition in meV per atom: 280
Formation energy from the elements in eV per atom: 0.695
E_tot in eV per atom: -8.328
Density in g/cm³: 18.52

# 4
CoOs2Au after structural relaxation. Source: the Alexandria database, functional PBEsol.

extended XYZ file:
```
4
Lattice="-1.871 1.871 3.913 1.871 -1.871 3.913 1.871 1.871 -3.913" Properties=species:S:1:pos:R:3 pbc="T T T"
Co 0.000 0.000 0.000
Os 1.871 0.000 1.956
Os 0.000 1.871 1.956
Au 0.000 0.000 3.913
```

Computed properties:
Calculated volume in Å³/atom: 13.70
Energy relative to the lowest polymorph listed for this composition in meV per atom: 139
Formation energy from the elements in eV per atom: 0.554
E_tot in eV per atom: -8.469
Density in g/cm³: 19.29

# 5
CoOs2Au after structural relaxation. Source: the Alexandria database, functional PBEsol.

extended XYZ file:
```
4
Lattice="4.431 -1.358 0.000 4.431 1.358 0.000 -0.822 0.000 4.605" Properties=species:S:1:pos:R:3 pbc="T T T"
Co 0.000 0.000 0.000
Os 1.671 0.000 3.450
Os 4.088 0.000 2.509
Au 6.476 0.000 1.125
```

Computed properties:
Calculated volume in Å³/atom: 13.85
Energy relative to the lowest polymorph listed for this composition in meV per atom: 0
Formation energy from the elements in eV per atom: 0.415
E_tot in eV per atom: -8.608
Density in g/cm³: 19.07

# 6
Co2OsAu after structural relaxation. Source: the Alexandria database, functional PBEsol.

extended XYZ file:
```
4
Lattice="2.653 0.000 0.000 0.000 2.653 0.000 0.000 0.000 7.247" Properties=species:S:1:pos:R:3 pbc="T T T"
Co 0.000 0.000 1.667
Co 0.000 0.000 5.580
Os 1.326 1.326 0.000
Au 1.326 1.326 3.624
```

Computed properties:
Calculated volume in Å³/atom: 12.75
Energy relative to the lowest polymorph listed for this composition in meV per atom: 0
Formation energy from the elements in eV per atom: 0.185
E_tot in eV per atom: -7.718
Density in g/cm³: 16.44

# 7
CoPOsAu2 after structural relaxation. Source: the Alexandria database, functional PBEsol.

extended XYZ file:
```
5
Lattice="4.940 0.000 0.000 0.000 4.940 0.000 0.000 0.000 4.294" Properties=species:S:1:pos:R:3 pbc="T T T"
Co 0.000 0.000 0.000
P 2.470 2.470 0.000
Os 0.000 0.000 2.147
Au 0.000 2.470 2.147
Au 2.470 0.000 2.147
```

Computed properties:
Calculated volume in Å³/atom: 20.96
Formation energy from the elements in eV per atom: 1.816
E_tot in eV per atom: -4.903
Density in g/cm³: 10.68

# 8
CoPAu2 after structural relaxation. Source: the Alexandria database, functional PBEsol.

extended XYZ file:
```
4
Lattice="-1.925 1.925 3.973 1.925 -1.925 3.973 1.925 1.925 -3.973" Properties=species:S:1:pos:R:3 pbc="T T T"
Co 0.000 0.000 0.000
P 0.000 0.000 3.973
Au 1.925 0.000 1.987
Au 0.000 1.925 1.987
```

Computed properties:
Calculated volume in Å³/atom: 14.73
Energy relative to the lowest polymorph listed for this composition in meV per atom: 412
Formation energy from the elements in eV per atom: 0.393
E_tot in eV per atom: -4.951
Density in g/cm³: 13.64

# 9
CoP2Au after structural relaxation. Source: the Alexandria database, functional PBEsol.

extended XYZ file:
```
4
Lattice="-2.013 2.013 3.365 2.013 -2.013 3.365 2.013 2.013 -3.365" Properties=species:S:1:pos:R:3 pbc="T T T"
Co 0.000 0.000 0.000
P 2.013 0.000 1.682
P 0.000 2.013 1.682
Au 0.000 0.000 3.365
```

Computed properties:
Calculated volume in Å³/atom: 13.63
Energy relative to the lowest polymorph listed for this composition in meV per atom: 288
Formation energy from the elements in eV per atom: 0.360
E_tot in eV per atom: -5.451
Density in g/cm³: 9.68

# 10
CoPAu2 after structural relaxation. Source: the Alexandria database, functional PBEsol.

extended XYZ file:
```
4
Lattice="6.409 -1.355 0.000 6.409 1.355 0.000 -0.426 0.000 3.470" Properties=species:S:1:pos:R:3 pbc="T T T"
Co 0.000 0.000 0.000
P 6.196 0.000 1.735
Au 3.792 0.000 2.704
Au 8.600 0.000 0.767
```

Computed properties:
Calculated volume in Å³/atom: 15.07
Energy relative to the lowest polymorph listed for this composition in meV per atom: 0
Formation energy from the elements in eV per atom: -0.019
E_tot in eV per atom: -5.363
Density in g/cm³: 13.32

# 11
CoP2Au after structural relaxation. Source: the Alexandria database, functional PBEsol.

extended XYZ file:
```
4
Lattice="1.552 0.896 6.652 -1.552 0.896 6.652 0.000 -1.792 6.652" Properties=species:S:1:pos:R:3 pbc="T T T"
Co 0.000 0.000 0.000
P 0.000 0.000 5.434
P 0.000 0.000 10.413
Au 0.000 0.000 15.335
```

Computed properties:
Calculated volume in Å³/atom: 13.87
Energy relative to the lowest polymorph listed for this composition in meV per atom: 0
Formation energy from the elements in eV per atom: 0.072
E_tot in eV per atom: -5.739
Density in g/cm³: 9.52

# 12
CoP2Au after structural relaxation. Source: the Alexandria database, functional PBEsol.

extended XYZ file:
```
4
Lattice="0.000 3.035 3.035 3.035 0.000 3.035 3.035 3.035 0.000" Properties=species:S:1:pos:R:3 pbc="T T T"
Co 0.000 0.000 0.000
P 3.035 3.035 3.035
P 4.552 4.552 4.552
Au 1.517 1.517 1.517
```

Computed properties:
Calculated volume in Å³/atom: 13.97
Energy relative to the lowest polymorph listed for this composition in meV per atom: 507
Formation energy from the elements in eV per atom: 0.579
E_tot in eV per atom: -5.232
Density in g/cm³: 9.44

Number 10 is which compound? CoPAu2

What did the twelfth record say?
CoP2Au after structural relaxation. Source: the Alexandria database, functional PBEsol.

extended XYZ file:
```
4
Lattice="0.000 3.035 3.035 3.035 0.000 3.035 3.035 3.035 0.000" Properties=species:S:1:pos:R:3 pbc="T T T"
Co 0.000 0.000 0.000
P 3.035 3.035 3.035
P 4.552 4.552 4.552
Au 1.517 1.517 1.517
```

Computed properties:
Calculated volume in Å³/atom: 13.97
Energy relative to the lowest polymorph listed for this composition in meV per atom: 507
Formation energy from the elements in eV per atom: 0.579
E_tot in eV per atom: -5.232
Density in g/cm³: 9.44

Which value of density does entry 3 give? 18.52 g/cm³

Look up the E_tot of the seventh one. -4.903 eV per atom